Density functional theory data (PBE-GGA) for an optimized crystal structure of La6AgGe.

Output
formation enthalpy at 0 K = -0.246 eV per atom
ρ = 6.624 Mg/m³

abc: 5.4155 5.4155 17.3331
angles: 90.00 90.00 90.00
Closest atoms and distances in Å follow each position.
Space group I4/mmm (No. 139)
Inequivalent atoms, fractional coordinates:
La 0.0000 0.0000 0.2440 x4  12 La 3.64-3.84
La 0.0000 0.5000 0.1037 x8  2 Ge 3.25, 2 Ag 3.25, 3 La 3.59-3.64
Ag 0.0000 0.0000 0.5000 x2  8 La 3.25
Ge 0.0000 0.0000 0.0000 x2  8 La 3.25

---

Density functional theory data (PBE-GGA) for an optimized crystal structure of Hf2Mg2Rh.

Output
formation enthalpy at 0 K = 0.508 eV per atom
energy above the lowest structure with this stoichiometry = 0.394 eV/atom
ρ = 7.917 Mg/m³

abc: 3.8112 3.8112 14.6854
angles: 90.00 90.00 90.00
Closest atoms and distances in Å follow each position.
Space group I4/mmm (No. 139)
Inequivalent atoms, fractional coordinates:
Hf 0.0000 0.5000 0.2500 x4  4 Hf 2.69
Mg 0.0000 0.0000 0.0867 x4  1 Mg 2.55
Rh 0.0000 0.0000 0.5000 x2  8 Mg 2.98

---

Density functional theory data (PBE-GGA) for an optimized crystal structure of SbRh2Se.

Output
ρ = 9.395 Mg/m³
energy relative to the elements, uncorrected = -193 meV per atom

abc: 8.9916 3.3852 4.8193
angles: 90.00 101.56 90.00
Closest atoms and distances in Å follow each position.
Space group Cm (No. 8)
Inequivalent atoms, fractional coordinates:
Sb 0.0000 0.0000 0.0000 x2  5 Rh 2.69-2.85
Rh 0.2628 0.0000 0.8123 x2  2 Se 2.51, 3 Sb 2.69-2.73
Rh 0.4925 0.0000 0.4722 x2  3 Se 2.49-2.64
Se 0.2631 0.5000 0.4268 x2  5 Rh 2.49-2.64

---

Density functional theory data (PBE-GGA) for an optimized crystal structure of Ho2MgPdO5.

Output
ρ = 7.625 Mg/m³
energy relative to the elements, uncorrected = -2298 meV per atom

abc: 6.3949 6.3949 5.7578
angles: 90.00 90.00 90.00
Closest atoms and distances in Å follow each position.
Space group P4/mbm (No. 127)
Inequivalent atoms, fractional coordinates:
Ho 0.1721 0.3279 0.0000 x4  4 O 2.16-2.37
Mg 0.0000 0.0000 0.5000 x2  10 O 2.84-2.88
Pd 0.0000 0.5000 0.5000 x2  4 O 1.98
O 0.0000 0.0000 0.0000 x2  4 Ho 2.37
O 0.1486 0.6486 0.2477 x8  1 Pd 1.98, 1 Ho 2.16

---

Density functional theory data (PBE-GGA) for an optimized crystal structure of PmDyCdCo.

Output
formation enthalpy at 0 K = -0.100 eV per atom
energy above the lowest structure with this stoichiometry = 0.106 eV/atom
ρ = 8.460 Mg/m³

abc: 7.2173 7.2173 7.2173
angles: 90.00 90.00 90.00
Closest atoms and distances in Å follow each position.
Space group F-43m (No. 216)
Inequivalent atoms, fractional coordinates:
Pm 0.0000 0.0000 0.0000 x4  4 Cd 3.13, 4 Co 3.13
Dy 0.0000 0.0000 0.5000 x4  4 Cd 3.13, 4 Co 3.13
Cd 0.2500 0.2500 0.2500 x4  4 Dy 3.13, 4 Pm 3.13
Co 0.2500 0.2500 0.7500 x4  4 Dy 3.13, 4 Pm 3.13

---

Density functional theory data (PBE-GGA) for an optimized crystal structure of EuUSn2.

Output
formation enthalpy at 0 K = -0.283 eV per atom
ρ = 9.592 Mg/m³

abc: 3.4303 3.4303 9.2302
angles: 90.00 90.00 90.00
Closest atoms and distances in Å follow each position.
Space group P4/mmm (No. 123)
Inequivalent atoms, fractional coordinates:
Eu 0.0000 0.0000 0.0000 x1  8 Sn 3.39, 4 Eu 3.43
U 0.0000 0.0000 0.5000 x1  8 Sn 3.31, 4 U 3.43
Sn 0.5000 0.5000 0.2564 x2  4 U 3.31, 4 Eu 3.39, 4 Sn 3.43

---

Density functional theory data (PBE-GGA) for an optimized crystal structure of Tb7Sc2In2.

Output
formation enthalpy at 0 K = -0.027 eV per atom
ρ = 7.128 Mg/m³

abc: 3.5603 17.3305 10.8131
angles: 90.00 90.00 90.00
Closest atoms and distances in Å follow each position.
Space group Imm2 (No. 44)
Inequivalent atoms, fractional coordinates:
Tb 0.0000 0.0000 0.0000 x2  3 In 3.22-3.29, 2 Tb 3.56
Tb 0.0000 0.1070 0.5568 x4  3 In 3.30-3.32, 2 Sc 3.33, 6 Tb 3.53-3.59
Tb 0.0000 0.3243 0.3158 x4  1 In 3.12, 3 Sc 3.24-3.30
Tb 0.0000 0.3485 0.7776 x4  2 In 3.18, 2 Sc 3.33, 4 Tb 3.51-3.56
Sc 0.0000 0.2306 0.0501 x4  8 Tb 3.24-3.59, 2 Sc 3.56
In 0.0000 0.0000 0.3040 x2  7 Tb 3.18-3.30, 2 In 3.56
In 0.0000 0.5000 0.2515 x2  8 Tb 3.12-3.32

---

Density functional theory data (PBE-GGA) for an optimized crystal structure of YMn2W.

Output
formation enthalpy at 0 K = 0.368 eV per atom
energy above the lowest structure with this stoichiometry = 0.133 eV/atom
ρ = 10.196 Mg/m³

abc: 6.2935 6.2935 6.2935
angles: 90.00 90.00 90.00
Closest atoms and distances in Å follow each position.
Space group Fm-3m (No. 225)
Inequivalent atoms, fractional coordinates:
Y 0.0000 0.0000 0.0000 x4  8 Mn 2.73
Mn 0.2500 0.2500 0.2500 x8  4 W 2.73, 4 Y 2.73
W 0.0000 0.0000 0.5000 x4  8 Mn 2.73

---

Density functional theory data (PBE-GGA) for an optimized crystal structure of Dy6Fe2Bi.

Output
formation enthalpy at 0 K = -0.212 eV per atom
ρ = 9.192 Mg/m³

abc: 9.6136 9.6995 10.0406
angles: 90.00 90.00 90.00
Closest atoms and distances in Å follow each position.
Space group Immm (No. 71)
Inequivalent atoms, fractional coordinates:
Dy 0.0000 0.2219 0.2310 x8  2 Fe 2.83-3.15, 1 Bi 3.16
Dy 0.1962 0.5000 0.1855 x8  3 Fe 2.81-2.86
Dy 0.2133 0.3143 0.5000 x8  2 Fe 2.94
Fe 0.0000 0.3886 0.0000 x4  1 Fe 2.16
Fe 0.0000 0.5000 0.3924 x4  1 Fe 2.16
Bi 0.0000 0.0000 0.0000 x2  8 Dy 3.16-3.29
Bi 0.0000 0.0000 0.5000 x2  12 Dy 3.45-3.67

---

Density functional theory data (PBE-GGA) for an optimized crystal structure of Ag2I3Cl8.

Output
ρ = 2.586 Mg/m³
energy relative to the elements, uncorrected = -179 meV per atom

abc: 13.8976 7.4021 22.6142
angles: 90.00 103.69 90.00
Closest atoms and distances in Å follow each position.
Space group C2/c (No. 15)
Inequivalent atoms, fractional coordinates:
Ag 0.1683 0.1596 0.3449 x8  2 Cl 2.45-2.51
I 0.0000 0.3593 0.2500 x4  2 Cl 2.60
I 0.2290 0.1799 0.0868 x8  3 Cl 2.47-2.75
Cl 0.0342 0.3550 0.3679 x8  1 Ag 2.51, 1 I 2.60
Cl 0.1756 0.0934 0.6326 x8  1 I 2.47
Cl 0.2136 0.0342 0.9602 x8  1 I 2.58
Cl 0.2374 0.1128 0.8092 x8  1 Ag 2.45

---

Density functional theory data (PBE-GGA) for an optimized crystal structure of Ac2LaH8.

Output
raw total energy = -0.1550 hartree per atom
ρ = 7.075 Mg/m³

abc: 4.0775 5.6751 12.1918
angles: 90.00 90.00 90.00
Closest atoms and distances in Å follow each position.
Space group Immm (No. 71)
Inequivalent atoms, fractional coordinates:
Ac 0.0000 0.0000 0.1690 x4  8 H 2.48-2.56
La 0.0000 0.0000 0.5000 x2  8 H 2.40-2.50
H 0.0000 0.2464 0.0000 x4  2 H 2.46, 2 Ac 2.49, 2 La 2.50
H 0.0000 0.2540 0.3429 x8  1 La 2.40, 3 Ac 2.48-2.56, 3 H 2.50-2.59
H 0.0000 0.5000 0.1639 x4  8 H 2.46-2.59